# CaZr3Al (PBE-GGA, relaxed)
# Theoretical density = 4.47 Mg/m³
# E_form = 1.553 eV per atom
# Polymorph energy (0 for the lowest one) = 1.016 eV/atom
data_CaZr3Al
_cell_length_a 5.0198
_cell_length_b 5.0198
_cell_length_c 5.0198
_cell_angle_alpha 90.00
_cell_angle_beta 90.00
_cell_angle_gamma 90.00
_space_group_name_H-M_alt 'P m -3 m'
_space_group_IT_number 221
_space_group_name_Hall '-P 4 2 3'
loop_
_atom_site_label
_atom_site_type_symbol
_atom_site_fract_x
_atom_site_fract_y
_atom_site_fract_z
Ca1 Ca 0.0000 0.0000 0.0000
Zr1 Zr 0.0000 0.0000 0.5000
Al1 Al 0.5000 0.5000 0.5000